Record 1
Computed, not measured: crystalline CdH2Pt2 at its relaxed geometry at the GGA-PBEsol level of DFT.

Output
Crystal system = tetragonal
Energy above the lowest structure with this stoichiometry = 0 meV/atom

Cell: 3.3886 3.3886 9.6793 Å, 90.00 90.00 90.00°
Closest atoms and distances in Å follow each position.
Space group I4/mmm (No. 139)
Symmetry-distinct sites (fractional):
1 Cd 0.0000 0.0000 0.0000 x2  8 Pt 2.82, 8 H 2.95
2 H 0.0000 0.5000 0.2500 x4  4 Pt 1.93
3 Pt 0.0000 0.0000 0.3457 x4  4 H 1.93

***

Record 2
Computed, not measured: crystalline BeHAuS2 at its relaxed geometry at the GGA-PBEsol level of DFT.

Output
Crystal system = tetragonal

Cell: 4.6600 4.6600 2.8521 Å, 90.00 90.00 90.00°
Closest atoms and distances in Å follow each position.
Space group P4/mmm (No. 123)
Symmetry-distinct sites (fractional):
1 Be 0.0000 0.0000 0.0000 x1  2 H 1.43
2 H 0.0000 0.0000 0.5000 x1  2 Be 1.43
3 Au 0.5000 0.5000 0.5000 x1  8 S 2.73, 2 Au 2.85
4 S 0.0000 0.5000 0.0000 x2  2 Be 2.33

***

Record 3
Computed, not measured: crystalline ZrTl2 at its relaxed geometry at the GGA-PBEsol level of DFT.

Output
Crystal system = orthorhombic
Energy relative to the elements = -0.061 eV per atom

Cell: 6.2729 4.2791 10.2202 Å, 90.00 90.00 90.00°
Closest atoms and distances in Å follow each position.
Space group Pnma (No. 62)
Symmetry-distinct sites (fractional):
1 Zr 0.1185 0.2500 0.1025 x4  8 Tl 3.02-3.23, 2 Zr 3.34
2 Tl 0.1297 0.2500 0.4344 x4  4 Tl 3.00-3.09, 4 Zr 3.09-3.23
3 Tl 0.1445 0.2500 0.7659 x4  4 Zr 3.02-3.09, 4 Tl 3.09-3.15

***

Record 4
Computed, not measured: crystalline Na3Mg at its relaxed geometry at the GGA-PBEsol level of DFT.

Output
Crystal system = trigonal
Energy relative to the elements = 0.071 eV per atom

Cell: 3.5086 3.5086 35.2049 Å, 90.00 90.00 120.00°
Closest atoms and distances in Å follow each position.
Space group R-3m (No. 166, hexagonal axes)
Symmetry-distinct sites (fractional):
1 Na 0.0000 0.0000 0.0000 x3  12 Na 3.51-3.71
2 Na 0.0000 0.0000 0.2449 x6  3 Mg 3.42, 9 Na 3.51-3.71
3 Mg 0.0000 0.0000 0.5000 x3  6 Na 3.42, 6 Mg 3.51

***

Record 5
Computed, not measured: crystalline AlMo4S8 at its relaxed geometry at the GGA-PBEsol level of DFT.

Output
Crystal system = cubic
Formation energy from raw total energies = -918 meV per atom

Cell: 9.6526 9.6526 9.6526 Å, 90.00 90.00 90.00°
Closest atoms and distances in Å follow each position.
Space group F-43m (No. 216)
Symmetry-distinct sites (fractional):
1 Al 0.0000 0.0000 0.0000 x4  4 S 2.26
2 Mo 0.1027 0.1027 0.3973 x16  6 S 2.33-2.57
3 S 0.1354 0.1354 0.1354 x16  1 Al 2.26
4 S 0.1348 0.1348 0.6348 x16  3 Mo 2.33

***

Record 6
Computed, not measured: crystalline Fe4Rh3 at its relaxed geometry at the GGA-PBEsol level of DFT.

Output
Crystal system = tetragonal
Energy relative to the elements = 0.058 eV per atom

Cell: 2.8421 2.8421 21.4531 Å, 90.00 90.00 90.00°
Closest atoms and distances in Å follow each position.
Space group I4/mmm (No. 139)
Symmetry-distinct sites (fractional):
1 Fe 0.0000 0.0000 0.0727 x4  4 Fe 2.43, 4 Rh 2.54
2 Fe 0.0000 0.0000 0.3635 x4  4 Fe 2.43, 4 Rh 2.52
3 Rh 0.0000 0.0000 0.2074 x4  4 Fe 2.52, 4 Rh 2.72
4 Rh 0.0000 0.0000 0.5000 x2  8 Fe 2.54, 4 Rh 2.84

***

Record 7
Computed, not measured: crystalline SiPBr2 at its relaxed geometry at the GGA-PBEsol level of DFT.

Output
Crystal system = orthorhombic
Formation energy from raw total energies = 519 meV per atom
Energy above the lowest structure with this stoichiometry = 674 meV/atom

Cell: 3.3134 4.3452 5.7527 Å, 90.00 90.00 90.00°
Closest atoms and distances in Å follow each position.
Space group Pmmm (No. 47)
Symmetry-distinct sites (fractional):
1 Si 0.0000 0.0000 0.0000 x1  4 Br 2.73
2 P 0.5000 0.0000 0.5000 x1  4 Br 2.73
3 Br 0.0000 0.5000 0.5000 x1  4 P 2.73
4 Br 0.5000 0.5000 0.0000 x1  4 Si 2.73

***

Record 8
Computed, not measured: crystalline CaRh2Pb at its relaxed geometry at the GGA-PBEsol level of DFT.

Output
Crystal system = monoclinic
Energy relative to the elements = -0.145 eV per atom

Cell: 3.2554 4.4545 5.4015 Å, 90.00 107.57 90.00°
Closest atoms and distances in Å follow each position.
Space group Pm (No. 6)
Symmetry-distinct sites (fractional):
1 Ca 0.0000 0.0000 0.0000 x1  7 Rh 2.76-2.90
2 Rh 0.2659 0.0000 0.5352 x1  2 Rh 2.75, 3 Ca 2.76-2.90, 4 Pb 2.86
3 Rh 0.4239 0.5000 0.8486 x1  2 Rh 2.75, 3 Pb 2.79-2.86, 4 Ca 2.87
4 Pb 0.6946 0.5000 0.3908 x1  7 Rh 2.79-2.86

***

Record 9
Computed, not measured: crystalline MgTeAs2 at its relaxed geometry at the GGA-PBEsol level of DFT.

Output
Crystal system = orthorhombic
Formation energy from raw total energies = -102 meV per atom
Energy above the lowest structure with this stoichiometry = 99 meV/atom

Cell: 3.4802 3.9789 13.5589 Å, 90.00 90.00 90.00°
Closest atoms and distances in Å follow each position.
Space group Imm2 (No. 44)
Symmetry-distinct sites (fractional):
1 Mg 0.0000 0.0000 0.0000 x2  4 As 2.81, 2 Te 2.94
2 Te 0.0000 0.5000 0.8404 x2  2 Mg 2.94, 4 As 3.26
3 As 0.0000 0.0000 0.5708 x2  2 As 2.47
4 As 0.0000 0.5000 0.1997 x2  2 As 2.47

***

Record 10
Computed, not measured: crystalline CoRe2Au at its relaxed geometry at the GGA-PBEsol level of DFT.

Output
Crystal system = orthorhombic
Energy above the lowest structure with this stoichiometry = 55 meV/atom
Energy relative to the elements = 0.425 eV per atom

Cell: 5.2403 7.9262 2.6991 Å, 90.00 90.00 90.00°
Closest atoms and distances in Å follow each position.
Space group Cmmm (No. 65)
Symmetry-distinct sites (fractional):
1 Co 0.0000 0.0000 0.0000 x2  2 Au 2.62, 2 Co 2.70, 8 Re 2.73
2 Re 0.2500 0.2500 0.5000 x4  4 Re 2.62-2.70, 4 Co 2.73, 4 Au 2.73
3 Au 0.0000 0.5000 0.0000 x2  2 Co 2.62, 2 Au 2.70, 8 Re 2.73

***

Record 11
Computed, not measured: crystalline TcGe2PdRu at its relaxed geometry at the GGA-PBEsol level of DFT.

Output
Crystal system = tetragonal
Energy relative to the elements = 0.995 eV per atom

Cell: 4.6460 4.6460 4.5638 Å, 90.00 90.00 90.00°
Closest atoms and distances in Å follow each position.
Space group P4/mmm (No. 123)
Symmetry-distinct sites (fractional):
1 Tc 0.0000 0.0000 0.0000 x1  2 Ru 2.28, 4 Ge 2.32
2 Ge 0.0000 0.5000 0.0000 x2  2 Tc 2.32
3 Pd 0.5000 0.5000 0.5000 x1  8 Ge 3.26, 4 Ru 3.29
4 Ru 0.0000 0.0000 0.5000 x1  2 Tc 2.28

***

Record 12
Computed, not measured: crystalline BePt3Se at its relaxed geometry at the GGA-PBEsol level of DFT.

Output
Crystal system = cubic
Formation energy from raw total energies = 300 meV per atom

Cell: 4.2407 4.2407 4.2407 Å, 90.00 90.00 90.00°
Closest atoms and distances in Å follow each position.
Space group Pm-3m (No. 221)
Symmetry-distinct sites (fractional):
1 Be 0.0000 0.0000 0.0000 x1  6 Pt 2.12
2 Pt 0.0000 0.0000 0.5000 x3  2 Be 2.12
3 Se 0.5000 0.5000 0.5000 x1  12 Pt 3.00

***

Asked for VASP energy across the records above, the calculation gives -4.378; -3.843; -4.844; -1.408; -7.551; -8.552; -3.300; -5.747; -3.966; -9.156; -6.460; -5.448 eV per atom in order.